Computed, not measured: an optimized crystal structure of MnBSbO4 at the PBE with a Hubbard U level of DFT.

Results
Calculated volume ... 79 Å³/f.u.
Raw total energy ... -199.711 eV/cell
Crystal system ... orthorhombic

a = 5.5235 Å, b = 8.4321 Å, c = 6.8115 Å
α = 90.00°, β = 90.00°, γ = 90.00°
Closest atoms and distances in Å follow each position.
Space group Cmcm (No. 63)
Asymmetric unit:
1 Mn 0.0000 0.0000 0.0000 (multiplicity 4)  6 O 2.23-2.32
2 B 0.0000 0.3512 0.2500 (multiplicity 4)  4 O 1.43-1.60
3 Sb 0.0000 0.3238 0.7500 (multiplicity 4)  4 O 2.08-2.29
4 O 0.0000 0.2574 0.0755 (multiplicity 8)  1 B 1.43
5 O 0.2180 0.4757 0.2500 (multiplicity 8)  1 B 1.60